AlW2Se after structural relaxation, computed with PBE-GGA.

a = 4.9098 Å, b = 4.9098 Å, c = 2.9421 Å
α = 90.00°, β = 90.00°, γ = 113.70°
Sites, in units of the cell vectors:
W 0.0000 0.0000 0.0000
W 0.5000 0.5000 0.0000
Al 0.5000 0.0000 0.5000
Se 0.0000 0.5000 0.5000

The value obtained for the uncorrected formation energy is 0.632 eV/atom. For the energy relative to the lowest polymorph listed for this composition, the calculation gives 510.0 meV/atom. As for the space group: Cmmm, No. 65. For the size of the total moment, the calculation gives 0.00 μB/cell.